{
  "formula": "SiAgO2F",
  "functional": "GGA-PBEsol",
  "state": "relaxed",
  "spacegroup": "P4/mmm (123)",
  "m_tot_mub_per_cell": 0.000,
  "density_g_cm3": 6.44,
  "energy_ev_per_atom": -5.95,
  "e_form_raw_ev_per_fu": -8.26,
  "cell": [[3.498, 0.000, 0.000], [0.000, 3.498, 0.000], [0.000, 0.000, 3.943]],
  "species": ["Si", "Ag", "O", "O", "F"],
  "fractional_positions": [[0.000, 0.000, 0.000], [0.500, 0.500, 0.500], [0.000, 0.500, 0.000], [0.500, 0.000, 0.000], [0.000, 0.000, 0.500]]
}